Compound: Nb3TlHg
Source: Alexandria
Functional: PBE
Structure: optimized geometry

Structure (POSCAR):
```
Nb3TlHg
1.0
5.073 0.000 0.000
0.000 5.073 0.000
0.000 0.000 5.073
Tl Hg Nb
1 1 3
Cartesian
2.536 2.536 2.536 Tl
0.000 0.000 0.000 Hg
0.000 0.000 2.536 Nb
2.536 0.000 0.000 Nb
0.000 2.536 0.000 Nb
```

Results
**DFT formation energy**: 1.7272 eV per atom
**Space group**: Pm-3m, No. 221
**Calculated density**: 8.7 Mg/m³
**Energy above the lowest structure with this stoichiometry**: 0.0 kJ/mol of atoms

***

Compound: UNbHg
Source: Alexandria
Functional: PBE
Structure: optimized geometry

Structure (POSCAR):
```
UNbHg
1.0
5.790 0.000 0.000
0.000 4.989 -0.048
0.000 -2.187 4.484
U Nb Hg
2 2 2
Cartesian
2.895 0.000 0.000 U
0.000 0.000 0.000 U
4.342 2.940 1.246 Nb
1.447 -0.138 3.190 Nb
1.447 2.432 1.567 Hg
4.342 0.370 2.870 Hg
```

Results
**DFT formation energy**: 0.4341 eV per atom
**Space group**: Cmcm, No. 63
**Calculated density**: 13.7 Mg/m³

***

Compound: Nb2V2Hg
Source: Alexandria
Functional: PBE
Structure: optimized geometry

Structure (POSCAR):
```
Nb2V2Hg
1.0
7.068 0.000 0.000
0.000 7.068 0.000
0.000 0.000 3.430
Hg V Nb
2 4 4
Cartesian
0.000 0.000 0.000 Hg
3.534 3.534 0.000 Hg
0.814 2.721 0.000 V
6.255 4.348 0.000 V
4.348 0.814 0.000 V
2.721 6.255 0.000 V
1.270 4.804 1.715 Nb
2.264 1.270 1.715 Nb
5.798 2.264 1.715 Nb
4.804 5.798 1.715 Nb
```

Results
**DFT formation energy**: 0.2398 eV per atom
**Space group**: P4/mbm, No. 127
**Calculated density**: 9.5 Mg/m³

***

Compound: Nb3VHg
Source: Alexandria
Functional: PBE
Structure: optimized geometry

Structure (POSCAR):
```
Nb3VHg
1.0
5.044 0.000 0.000
0.000 5.044 0.000
0.000 0.000 5.044
Nb Hg V
3 1 1
Cartesian
0.000 2.522 0.000 Nb
2.522 0.000 0.000 Nb
0.000 0.000 2.522 Nb
0.000 0.000 0.000 Hg
2.522 2.522 2.522 V
```

Results
**DFT formation energy**: 2.1511 eV per atom
**Space group**: Pm-3m, No. 221
**Calculated density**: 6.9 Mg/m³
**Energy above the lowest structure with this stoichiometry**: 122.1 kJ/mol of atoms

***

Compound: Nb3VHg
Source: Alexandria
Functional: PBE
Structure: optimized geometry

Structure (POSCAR):
```
Nb3VHg
1.0
-3.856 2.314 -1.225
-1.305 0.192 4.471
2.270 4.042 0.489
Nb V Hg
3 1 1
Cartesian
-1.928 1.157 -0.613 Nb
1.135 2.021 0.244 Nb
-0.652 0.096 2.235 Nb
0.000 0.000 0.000 V
-1.446 3.274 1.867 Hg
```

Results
**DFT formation energy**: 0.8851 eV per atom
**Space group**: Pm-3m, No. 221
**Calculated density**: 8.7 Mg/m³
**Energy above the lowest structure with this stoichiometry**: 0.0 kJ/mol of atoms

***

Compound: NbVHg
Source: Alexandria
Functional: PBE
Structure: optimized geometry

Structure (POSCAR):
```
NbVHg
1.0
-2.317 1.549 -0.036
-1.061 -1.483 4.392
5.042 7.628 3.793
V Nb Hg
2 2 2
Cartesian
2.194 5.847 2.504 V
1.159 1.815 3.467 V
2.121 3.210 1.596 Nb
1.232 4.452 4.375 Nb
-1.248 0.699 2.509 Hg
4.602 6.962 3.462 Hg
```

Results
**DFT formation energy**: 0.5944 eV per atom
**Space group**: Pmmn, No. 59
**Calculated density**: 8.7 Mg/m³

***

Compound: NbHg3W
Source: Alexandria
Functional: PBE
Structure: optimized geometry

Structure (POSCAR):
```
NbHg3W
1.0
-0.406 4.430 -2.745
-2.878 -2.485 -3.586
-4.344 1.233 2.632
W Hg Nb
1 3 1
Cartesian
0.000 0.000 0.000 W
-1.439 -1.243 -1.793 Hg
-2.172 0.616 1.316 Hg
-0.203 2.215 -1.372 Hg
-3.814 1.589 -1.849 Nb
```

Results
**DFT formation energy**: 1.6655 eV per atom
**Space group**: Pm-3m, No. 221
**Calculated density**: 10.2 Mg/m³
**Energy above the lowest structure with this stoichiometry**: 0.0 kJ/mol of atoms

***

Compound: NbHg2W
Source: Alexandria
Functional: PBE
Structure: optimized geometry

Structure (POSCAR):
```
NbHg2W
1.0
-3.655 0.251 1.541
1.210 -2.028 3.198
1.362 8.033 7.049
Hg W Nb
4 2 2
Cartesian
0.099 5.367 7.050 Hg
-1.808 1.912 3.132 Hg
-1.113 4.461 9.447 Hg
0.655 0.771 3.947 Hg
0.000 0.000 0.000 W
-1.758 3.697 5.480 W
-1.223 -0.889 2.370 Nb
0.674 2.558 6.308 Nb
```

Results
**DFT formation energy**: 0.8872 eV per atom
**Space group**: I-42d, No. 122
**Calculated density**: 13.7 Mg/m³
**Energy above the lowest structure with this stoichiometry**: 6.6 kJ/mol of atoms

***

Compound: NbHgW3
Source: Alexandria
Functional: PBE
Structure: optimized geometry

Structure (POSCAR):
```
NbHgW3
1.0
-1.695 2.624 3.719
-0.873 -4.083 2.482
4.467 0.198 1.897
Hg W Nb
1 3 1
Cartesian
0.000 0.000 0.000 Hg
-0.848 1.312 1.860 W
-0.436 -2.041 1.241 W
2.234 0.099 0.948 W
0.949 -0.630 4.049 Nb
```

Results
**DFT formation energy**: 3.0170 eV per atom
**Space group**: Pm-3m, No. 221
**Calculated density**: 12.2 Mg/m³
**Energy above the lowest structure with this stoichiometry**: 73.5 kJ/mol of atoms

***

Compound: NbHgW3
Source: Alexandria
Functional: PBE
Structure: optimized geometry

Structure (POSCAR):
```
NbHgW3
1.0
-3.402 -2.951 1.639
3.010 -3.706 -0.425
1.529 0.727 4.484
W Hg Nb
3 1 1
Cartesian
0.765 0.364 2.242 W
1.505 -1.853 -0.213 W
-1.701 -1.476 0.820 W
0.568 -2.965 2.849 Hg
0.000 0.000 0.000 Nb
```

Results
**DFT formation energy**: 2.2549 eV per atom
**Space group**: Pm-3m, No. 221
**Calculated density**: 12.7 Mg/m³
**Energy above the lowest structure with this stoichiometry**: 0.0 kJ/mol of atoms

***

Compound: NbHg2W
Source: Alexandria
Functional: PBE
Structure: optimized geometry

Structure (POSCAR):
```
NbHg2W
1.0
0.000 3.341 3.341
3.341 0.000 3.341
3.341 3.341 0.000
Nb Hg W
1 2 1
Cartesian
0.000 0.000 0.000 Nb
1.671 1.671 1.671 Hg
5.012 5.012 5.012 Hg
3.341 3.341 3.341 W
```

Results
**DFT formation energy**: 0.8191 eV per atom
**Space group**: Fm-3m, No. 225
**Calculated density**: 15.1 Mg/m³
**Energy above the lowest structure with this stoichiometry**: 0.0 kJ/mol of atoms

***

Compound: NbZnHg2W
Source: Alexandria
Functional: PBE
Structure: optimized geometry

Structure (POSCAR):
```
NbZnHg2W
1.0
5.131 0.000 0.000
0.000 4.767 0.000
0.000 0.000 5.131
Zn W Hg Nb
1 1 2 1
Cartesian
0.000 2.383 0.000 Zn
0.000 0.000 0.000 W
2.565 0.000 0.000 Hg
0.000 0.000 2.565 Hg
2.565 2.383 2.565 Nb
```

Results
**DFT formation energy**: 1.6993 eV per atom
**Space group**: P4/mmm, No. 123
**Calculated density**: 9.8 Mg/m³